Below is a geometry-optimized LaGa2CoO structure, with properties calculated at the GGA+U level.

Summary:
Its total energy is -23.166 eV/f.u.

Cell: 4.403 4.403 5.214 Å, 90.00 90.00 90.00°
Space group P4/mmm (No. 123)
Asymmetric unit:
La: 0.000 0.000 0.000 [1 per cell]
Ga: 0.000 0.500 0.500 [2 per cell]
Co: 0.000 0.000 0.500 [1 per cell]
O: 0.500 0.500 0.000 [1 per cell]